[1]
# K2Rb3Na7, optimized geometry, DFT PBE
data_K2Rb3Na7
_symmetry_space_group_name_H-M 'P 1'
_symmetry_Int_Tables_number 1
_symmetry_space_group_name_Hall 'P 1'
_cell_length_a 35.3403
_cell_length_b 35.3403
_cell_length_c 5.3671
_cell_angle_alpha 90.00
_cell_angle_beta 90.00
_cell_angle_gamma 171.28
loop_
_atom_site_label
_atom_site_type_symbol
_atom_site_fract_x
_atom_site_fract_y
_atom_site_fract_z
K1 K 0.0547 0.9453 0.0000
K2 K 0.9453 0.0547 0.0000
Rb1 Rb 0.3456 0.6544 0.5000
Rb2 Rb 0.5000 0.5000 0.5000
Rb3 Rb 0.6544 0.3456 0.5000
Na1 Na 0.0000 0.0000 0.0000
Na2 Na 0.0999 0.9001 0.5000
Na3 Na 0.1329 0.8671 0.0000
Na4 Na 0.4000 0.6000 0.0000
Na5 Na 0.6000 0.4000 0.0000
Na6 Na 0.8671 0.1329 0.0000
Na7 Na 0.9001 0.0999 0.5000
# - total DFT energy (no corrections) (eV/atom) = -1.087
# - energy of formation (kJ/mol of atoms) = 10
# - space group = Cmmm, No. 65
# - energy relative to the lowest polymorph listed for this composition (eV/atom) = 0.0787



[2]
# LaCuRe, optimized geometry, DFT PBE
data_LaCuRe
_symmetry_space_group_name_H-M 'P 1'
_symmetry_Int_Tables_number 1
_symmetry_space_group_name_Hall 'P 1'
_cell_length_a 4.5328
_cell_length_b 4.5328
_cell_length_c 4.5328
_cell_angle_alpha 60.00
_cell_angle_beta 60.00
_cell_angle_gamma 60.00
loop_
_atom_site_label
_atom_site_type_symbol
_atom_site_fract_x
_atom_site_fract_y
_atom_site_fract_z
La1 La 0.0000 0.0000 0.0000
Cu1 Cu 0.5000 0.5000 0.5000
Re1 Re 0.2500 0.2500 0.2500
# - total DFT energy (no corrections) (eV/atom) = -6.314
# - energy of formation (kJ/mol of atoms) = 81
# - space group = F-43m, No. 216
# - energy relative to the lowest polymorph listed for this composition (eV/atom) = 0.3957



[3]
# Ge2TeIrW, optimized geometry, DFT PBE
data_Ge2TeIrW
_symmetry_space_group_name_H-M 'P 1'
_symmetry_Int_Tables_number 1
_symmetry_space_group_name_Hall 'P 1'
_cell_length_a 4.6340
_cell_length_b 4.6340
_cell_length_c 5.6913
_cell_angle_alpha 90.00
_cell_angle_beta 90.00
_cell_angle_gamma 90.00
loop_
_atom_site_label
_atom_site_type_symbol
_atom_site_fract_x
_atom_site_fract_y
_atom_site_fract_z
Ge1 Ge 0.0000 0.5000 0.0000
Ge2 Ge 0.5000 0.0000 0.0000
Te1 Te 0.0000 0.0000 0.5000
Ir1 Ir 0.0000 0.0000 0.0000
W1 W 0.5000 0.5000 0.5000
# - total DFT energy (no corrections) (eV/atom) = -5.658
# - uncorrected formation energy (eV per atom) = 1.1797
# - space group = P4/mmm, No. 123



[4]
# TmIn2Ir, optimized geometry, DFT PBE
data_TmIn2Ir
_symmetry_space_group_name_H-M 'P 1'
_symmetry_Int_Tables_number 1
_symmetry_space_group_name_Hall 'P 1'
_cell_length_a 15.2508
_cell_length_b 8.3506
_cell_length_c 5.5217
_cell_angle_alpha 90.00
_cell_angle_beta 90.00
_cell_angle_gamma 90.00
loop_
_atom_site_label
_atom_site_type_symbol
_atom_site_fract_x
_atom_site_fract_y
_atom_site_fract_z
Tm1 Tm 0.1033 0.2500 0.2435
Tm2 Tm 0.1382 0.7500 0.4600
Tm3 Tm 0.3618 0.2500 0.9600
Tm4 Tm 0.3967 0.7500 0.7435
Tm5 Tm 0.6033 0.2500 0.2565
Tm6 Tm 0.6382 0.7500 0.0400
Tm7 Tm 0.8618 0.2500 0.5400
Tm8 Tm 0.8967 0.7500 0.7565
In1 In 0.0369 0.0488 0.7460
In2 In 0.0369 0.4512 0.7460
In3 In 0.2150 0.5467 0.9795
In4 In 0.2150 0.9533 0.9795
In5 In 0.2850 0.0467 0.4795
In6 In 0.2850 0.4533 0.4795
In7 In 0.4631 0.5488 0.2460
In8 In 0.4631 0.9512 0.2460
In9 In 0.5369 0.0488 0.7540
In10 In 0.5369 0.4512 0.7540
In11 In 0.7150 0.5467 0.5205
In12 In 0.7150 0.9533 0.5205
In13 In 0.7850 0.0467 0.0205
In14 In 0.7850 0.4533 0.0205
In15 In 0.9631 0.5488 0.2540
In16 In 0.9631 0.9512 0.2540
Ir1 Ir 0.0703 0.7500 0.9661
Ir2 Ir 0.1840 0.2500 0.7639
Ir3 Ir 0.3160 0.7500 0.2639
Ir4 Ir 0.4297 0.2500 0.4661
Ir5 Ir 0.5703 0.7500 0.5339
Ir6 Ir 0.6840 0.2500 0.7361
Ir7 Ir 0.8160 0.7500 0.2361
Ir8 Ir 0.9297 0.2500 0.0339
# - total DFT energy (no corrections) (eV/atom) = -5.221
# - energy of formation (kJ/mol of atoms) = -50
# - space group = Pnma, No. 62



[5]
# PaNbGa2, optimized geometry, DFT PBE
data_PaNbGa2
_symmetry_space_group_name_H-M 'P 1'
_symmetry_Int_Tables_number 1
_symmetry_space_group_name_Hall 'P 1'
_cell_length_a 3.5526
_cell_length_b 3.5526
_cell_length_c 6.1428
_cell_angle_alpha 90.00
_cell_angle_beta 90.00
_cell_angle_gamma 90.00
loop_
_atom_site_label
_atom_site_type_symbol
_atom_site_fract_x
_atom_site_fract_y
_atom_site_fract_z
Pa1 Pa 0.0000 0.0000 0.0000
Nb1 Nb 0.0000 0.0000 0.5000
Ga1 Ga 0.5000 0.5000 0.2909
Ga2 Ga 0.5000 0.5000 0.7091
# - total DFT energy (no corrections) (eV/atom) = -6.618
# - energy of formation (kJ/mol of atoms) = -21
# - space group = P4/mmm, No. 123
# - energy relative to the lowest polymorph listed for this composition (eV/atom) = 0.0673



[6]
# Pu3Sn4Au4, optimized geometry, DFT PBE
data_Pu3Sn4Au4
_symmetry_space_group_name_H-M 'P 1'
_symmetry_Int_Tables_number 1
_symmetry_space_group_name_Hall 'P 1'
_cell_length_a 9.1344
_cell_length_b 9.1344
_cell_length_c 9.1344
_cell_angle_alpha 151.93
_cell_angle_beta 131.13
_cell_angle_gamma 57.30
loop_
_atom_site_label
_atom_site_type_symbol
_atom_site_fract_x
_atom_site_fract_y
_atom_site_fract_z
Pu1 Pu 0.0000 0.0000 0.0000
Pu2 Pu 0.3830 0.8830 0.5000
Pu3 Pu 0.6170 0.1170 0.5000
Sn1 Sn 0.0396 0.3349 0.7047
Sn2 Sn 0.3698 0.6651 0.7047
Sn3 Sn 0.6302 0.3349 0.2953
Sn4 Sn 0.9604 0.6651 0.2953
Au1 Au 0.2166 0.2166 0.0000
Au2 Au 0.3116 0.5000 0.8116
Au3 Au 0.6884 0.5000 0.1884
Au4 Au 0.7834 0.7834 0.0000
# - total DFT energy (no corrections) (eV/atom) = -6.879
# - energy of formation (kJ/mol of atoms) = -31
# - space group = Immm, No. 71



[7]
# Ca4BiPO, optimized geometry, DFT PBE
data_Ca4BiPO
_symmetry_space_group_name_H-M 'P 1'
_symmetry_Int_Tables_number 1
_symmetry_space_group_name_Hall 'P 1'
_cell_length_a 8.8057
_cell_length_b 8.8057
_cell_length_c 8.8057
_cell_angle_alpha 149.61
_cell_angle_beta 149.61
_cell_angle_gamma 43.51
loop_
_atom_site_label
_atom_site_type_symbol
_atom_site_fract_x
_atom_site_fract_y
_atom_site_fract_z
Ca1 Ca 0.0000 0.0000 0.0000
Ca2 Ca 0.1998 0.6998 0.5000
Ca3 Ca 0.3545 0.3545 0.0000
Ca4 Ca 0.6998 0.1998 0.5000
Bi1 Bi 0.5508 0.5508 0.0000
P1 P 0.8231 0.8231 0.0000
O1 O 0.2143 0.2143 0.0000
# - total DFT energy (no corrections) (eV/atom) = -4.764
# - uncorrected formation energy (eV per atom) = -1.5846
# - space group = I4mm, No. 107



[8]
# TlHg2GeI, optimized geometry, DFT PBE
data_TlHg2GeI
_symmetry_space_group_name_H-M 'P 1'
_symmetry_Int_Tables_number 1
_symmetry_space_group_name_Hall 'P 1'
_cell_length_a 5.3264
_cell_length_b 5.3264
_cell_length_c 5.9794
_cell_angle_alpha 90.00
_cell_angle_beta 90.00
_cell_angle_gamma 90.00
loop_
_atom_site_label
_atom_site_type_symbol
_atom_site_fract_x
_atom_site_fract_y
_atom_site_fract_z
Tl1 Tl 0.0000 0.0000 0.0000
Hg1 Hg 0.0000 0.5000 0.5000
Hg2 Hg 0.5000 0.0000 0.5000
Ge1 Ge 0.0000 0.0000 0.5000
I1 I 0.5000 0.5000 0.0000
# - total DFT energy (no corrections) (eV/atom) = -1.915
# - uncorrected formation energy (eV per atom) = -0.0878
# - space group = P4/mmm, No. 123



- Which of these has the lowest total DFT energy (no corrections)?
  Pu3Sn4Au4



- Number 1 is which compound?
  K2Rb3Na7



- Look up the total DFT energy (no corrections) of the seventh one.
  -4.764 eV/atom